(1)
Entry from Alexandria: a relaxed structure of Ca2NiSn2 (PBE).

Cell: 7.0705 7.0705 4.9908 Å, 90.00 90.00 90.00°
Closest atoms and distances in Å follow each position.
Fractional coordinates of all 10 atoms:
Ca 0.1661 0.3339 0.0000  6 Sn 3.10-3.35, 1 Ca 3.32
Ca 0.3339 0.8339 0.0000  6 Sn 3.10-3.35, 1 Ca 3.32
Ca 0.6661 0.1661 0.0000  6 Sn 3.10-3.35, 1 Ca 3.32
Ca 0.8339 0.6661 0.0000  6 Sn 3.10-3.35, 1 Ca 3.32
Ni 0.0000 0.0000 0.5000  4 Sn 2.69
Ni 0.5000 0.5000 0.5000  4 Sn 2.69
Sn 0.1497 0.6497 0.5000  2 Ni 2.69, 1 Sn 2.99
Sn 0.3503 0.1497 0.5000  2 Ni 2.69, 1 Sn 2.99
Sn 0.6497 0.8503 0.5000  2 Ni 2.69, 1 Sn 2.99
Sn 0.8503 0.3503 0.5000  2 Ni 2.69, 1 Sn 2.99

Output
M_tot	0.0	μB per cell
SG	P4/mbm, No. 127
raw total energy	-3.99	eV/atom
calculated density	5.009	Mg/m³
E above lowest polymorph	127	meV/atom
formation energy	-41.83	kJ per mole of atoms


(2)
Entry from Alexandria: a relaxed structure of Cr2CoHIr (PBE).

Cell: 3.6811 3.6811 3.7521 Å, 90.00 90.00 90.00°
Closest atoms and distances in Å follow each position.
Fractional coordinates of all 5 atoms:
Cr 0.0000 0.5000 0.0000  2 H 1.84
Cr 0.5000 0.0000 0.0000  2 H 1.84
Co 0.0000 0.0000 0.5000  4 Ir 2.60, 8 Cr 2.63
H 0.5000 0.5000 0.0000  4 Cr 1.84, 2 Ir 1.88
Ir 0.5000 0.5000 0.5000  2 H 1.88

Output
M_tot	0.8	μB per cell
SG	P4/mmm, No. 123
raw total energy	-7.69	eV/atom
calculated density	11.632	Mg/m³
E above lowest polymorph	100	meV/atom


(3)
Entry from Alexandria: a relaxed structure of LaReHg2 (PBE).

Cell: 6.0507 6.0507 3.1846 Å, 100.13 100.13 123.28°
Closest atoms and distances in Å follow each position.
Fractional coordinates of all 4 atoms:
La 0.0000 0.0000 0.0000  2 Re 2.87, 4 Hg 3.16, 2 La 3.18
Re 0.5000 0.5000 0.0000  2 La 2.87, 4 Hg 3.16, 2 Re 3.18
Hg 0.0000 0.5000 0.5000  4 Hg 2.87-3.18, 2 La 3.16, 2 Re 3.16
Hg 0.5000 0.0000 0.5000  4 Hg 2.87-3.18, 2 La 3.16, 2 Re 3.16

Output
M_tot	0.0	μB per cell
SG	C2/m, No. 12
raw total energy	-3.95	eV/atom
calculated density	13.320	Mg/m³
E above lowest polymorph	217	meV/atom
formation energy	52.71	kJ per mole of atoms


(4)
Entry from Alexandria: a relaxed structure of Zr2CdAg (PBE).

Cell: 6.3199 6.3199 6.3199 Å, 101.19 101.19 127.73°
Closest atoms and distances in Å follow each position.
Fractional coordinates of all 8 atoms:
Zr 0.1089 0.1250 0.4839  2 Zr 2.80, 2 Ag 2.83, 2 Cd 3.01
Zr 0.3750 0.8911 0.0161  2 Zr 2.80, 2 Ag 2.83, 2 Cd 3.01
Zr 0.6411 0.6250 0.5161  2 Zr 2.80, 2 Ag 2.83, 2 Cd 3.01
Zr 0.8750 0.3589 0.9839  2 Zr 2.80, 2 Ag 2.83, 2 Cd 3.01
Cd 0.2500 0.7500 0.5000  2 Ag 2.78, 4 Zr 3.01
Cd 0.5000 0.5000 0.0000  2 Ag 2.78, 4 Zr 3.01
Ag 0.0000 0.0000 0.0000  2 Cd 2.78, 4 Zr 2.83
Ag 0.7500 0.2500 0.5000  2 Cd 2.78, 4 Zr 2.83

Output
M_tot	0.0	μB per cell
SG	I-42d, No. 122
raw total energy	-4.92	eV/atom
calculated density	7.462	Mg/m³
formation energy	28.66	kJ per mole of atoms


(5)
Entry from Alexandria: a relaxed structure of Ac3MgZn2Ag6 (PBE).

Cell: 6.3681 6.3681 8.9248 Å, 90.00 90.00 120.00°
Closest atoms and distances in Å follow each position.
Fractional coordinates of all 12 atoms:
Ac 0.0000 0.0000 0.0000  6 Ag 3.19
Ac 0.3333 0.6667 0.6214  9 Ag 3.32-3.50, 1 Zn 3.46
Ac 0.6667 0.3333 0.3786  9 Ag 3.32-3.50, 1 Zn 3.46
Mg 0.0000 0.0000 0.5000  6 Ag 2.86
Zn 0.3333 0.6667 0.0093  3 Ag 2.88
Zn 0.6667 0.3333 0.9907  3 Ag 2.88
Ag 0.1844 0.3689 0.2750  2 Ag 2.84, 1 Mg 2.86, 1 Zn 2.88
Ag 0.1844 0.8156 0.2750  2 Ag 2.84, 1 Mg 2.86, 1 Zn 2.88
Ag 0.3689 0.1844 0.7250  2 Ag 2.84, 1 Mg 2.86, 1 Zn 2.88
Ag 0.6311 0.8156 0.2750  2 Ag 2.84, 1 Mg 2.86, 1 Zn 2.88
Ag 0.8156 0.1844 0.7250  2 Ag 2.84, 1 Mg 2.86, 1 Zn 2.88
Ag 0.8156 0.6311 0.7250  2 Ag 2.84, 1 Mg 2.86, 1 Zn 2.88

Output
M_tot	0.0	μB per cell
SG	P-3m1, No. 164
raw total energy	-2.90	eV/atom
calculated density	7.859	Mg/m³
formation energy	-9.96	kJ per mole of atoms


(6)
Entry from Alexandria: a relaxed structure of ReTc4Pb (PBE).

Cell: 5.1800 5.1800 5.1800 Å, 60.00 60.00 60.00°
Closest atoms and distances in Å follow each position.
Fractional coordinates of all 6 atoms:
Re 0.0000 0.0000 0.0000  12 Tc 3.04, 4 Pb 3.17
Tc 0.1268 0.6244 0.6244  6 Tc 2.58-2.60
Tc 0.6244 0.1268 0.6244  6 Tc 2.58-2.60
Tc 0.6244 0.6244 0.1268  6 Tc 2.58-2.60
Tc 0.6244 0.6244 0.6244  6 Tc 2.58-2.60
Pb 0.2500 0.2500 0.2500  12 Tc 3.04, 4 Re 3.17

Output
M_tot	0.0	μB per cell
SG	F-43m, No. 216
raw total energy	-8.96	eV/atom
calculated density	13.270	Mg/m³
formation energy	61.65	kJ per mole of atoms


(7)
Entry from Alexandria: a relaxed structure of CaMnCr2 (PBE).

Cell: 4.6401 4.6401 5.3454 Å, 103.37 103.37 37.54°
Closest atoms and distances in Å follow each position.
Fractional coordinates of all 4 atoms:
Ca 0.0000 0.0000 0.0000  2 Ca 2.99, 6 Cr 3.04-3.22, 4 Mn 3.06
Mn 0.5000 0.5000 0.5000  4 Cr 2.33
Cr 0.2084 0.2084 0.6225  2 Cr 2.22, 2 Mn 2.33
Cr 0.7916 0.7916 0.3775  2 Cr 2.22, 2 Mn 2.33

Output
M_tot	0.6	μB per cell
SG	C2/m, No. 12
raw total energy	-6.97	eV/atom
calculated density	4.859	Mg/m³
E above lowest polymorph	198	meV/atom
formation energy	61.55	kJ per mole of atoms


(8)
Entry from Alexandria: a relaxed structure of NaNb3I (PBE).

Cell: 4.8494 4.8494 4.8494 Å, 90.00 90.00 90.00°
Closest atoms and distances in Å follow each position.
Fractional coordinates of all 5 atoms:
Na 0.0000 0.0000 0.0000  6 Nb 2.42
Nb 0.0000 0.0000 0.5000  2 Na 2.42
Nb 0.0000 0.5000 0.0000  2 Na 2.42
Nb 0.5000 0.0000 0.0000  2 Na 2.42
I 0.5000 0.5000 0.5000  12 Nb 3.43

Output
M_tot	0.0	μB per cell
SG	Pm-3m, No. 221
raw total energy	-4.43	eV/atom
calculated density	6.241	Mg/m³
E above lowest polymorph	516	meV/atom
formation energy from raw total energies	2.18	eV/atom


(9)
Entry from Alexandria: a relaxed structure of Cu3Pt (PBE).

Cell: 3.7256 3.7256 3.7256 Å, 90.00 90.00 90.00°
Closest atoms and distances in Å follow each position.
Fractional coordinates of all 4 atoms:
Cu 0.0000 0.0000 0.5000  8 Cu 2.63, 4 Pt 2.63
Cu 0.0000 0.5000 0.0000  8 Cu 2.63, 4 Pt 2.63
Cu 0.5000 0.0000 0.0000  8 Cu 2.63, 4 Pt 2.63
Pt 0.5000 0.5000 0.5000  12 Cu 2.63

Output
M_tot	0.0	μB per cell
SG	Pm-3m, No. 221
raw total energy	-4.73	eV/atom
calculated density	12.386	Mg/m³
formation energy	-14.35	kJ per mole of atoms


(10)
Entry from Alexandria: a relaxed structure of LiAlGe2O6 (PBE).

Cell: 7.8490 7.8490 5.3278 Å, 109.74 109.74 91.91°
Closest atoms and distances in Å follow each position.
Fractional coordinates of all 20 atoms:
Li 0.2486 0.7514 0.7500  4 O 1.99
Li 0.7514 0.2486 0.2500  4 O 1.99
Al 0.2492 0.7508 0.2500  4 O 1.76
Al 0.7508 0.2492 0.7500  4 O 1.76
Ge 0.1665 0.3352 0.7389  4 O 1.75-1.78
Ge 0.3352 0.1665 0.2389  4 O 1.75-1.78
Ge 0.6648 0.8335 0.7611  4 O 1.75-1.78
Ge 0.8335 0.6648 0.2611  4 O 1.75-1.78
O 0.0694 0.7344 0.3719  1 Ge 1.75, 1 Al 1.76
O 0.2031 0.3009 0.4144  2 Ge 1.77-1.78
O 0.2320 0.5714 0.9321  1 Ge 1.75, 1 Al 1.76
O 0.2656 0.9306 0.1281  1 Ge 1.75, 1 Al 1.76
O 0.3009 0.2031 0.9144  2 Ge 1.77-1.78
O 0.4286 0.7680 0.5679  1 Ge 1.75, 1 Al 1.76
O 0.5714 0.2320 0.4321  1 Ge 1.75, 1 Al 1.76
O 0.6991 0.7969 0.0856  2 Ge 1.77-1.78
O 0.7344 0.0694 0.8719  1 Ge 1.75, 1 Al 1.76
O 0.7680 0.4286 0.0679  1 Ge 1.75, 1 Al 1.76
O 0.7969 0.6991 0.5856  2 Ge 1.77-1.78
O 0.9306 0.2656 0.6281  1 Ge 1.75, 1 Al 1.76

Output
M_tot	0.0	μB per cell
SG	C2/c, No. 15
raw total energy	-6.56	eV/atom
calculated density	3.188	Mg/m³
E above lowest polymorph	0	meV/atom
formation energy from raw total energies	-2.10	eV/atom


(11)
Entry from Alexandria: a relaxed structure of BeCuMo (PBE).

Cell: 3.9939 3.9939 3.9939 Å, 60.00 60.00 60.00°
Closest atoms and distances in Å follow each position.
Fractional coordinates of all 3 atoms:
Be 0.0000 0.0000 0.0000  4 Mo 2.45
Cu 0.5000 0.5000 0.5000  4 Mo 2.45
Mo 0.7500 0.7500 0.7500  4 Be 2.45, 4 Cu 2.45

Output
M_tot	0.0	μB per cell
SG	F-43m, No. 216
raw total energy	-5.15	eV/atom
calculated density	6.211	Mg/m³
E above lowest polymorph	1041	meV/atom
formation energy	102.71	kJ per mole of atoms


(12)
Entry from Alexandria: a relaxed structure of Dy6C3S (PBE).

Cell: 10.1441 3.6133 12.5423 Å, 90.00 113.15 90.00°
Closest atoms and distances in Å follow each position.
Fractional coordinates of all 20 atoms:
Dy 0.0145 0.2500 0.2717  3 C 2.47-2.49
Dy 0.1539 0.2500 0.5665  3 C 2.47-2.48
Dy 0.1705 0.7500 0.1056  2 C 2.47
Dy 0.3163 0.7500 0.4009  3 C 2.47-2.50
Dy 0.3558 0.7500 0.9216  3 C 2.35-2.53
Dy 0.4844 0.2500 0.2459  3 C 2.43-2.44
Dy 0.5156 0.7500 0.7541  3 C 2.43-2.44
Dy 0.6442 0.2500 0.0784  3 C 2.35-2.53
Dy 0.6837 0.2500 0.5991  3 C 2.47-2.50
Dy 0.8295 0.2500 0.8944  2 C 2.47
Dy 0.8461 0.7500 0.4335  3 C 2.47-2.48
Dy 0.9855 0.7500 0.7283  3 C 2.47-2.49
C 0.0837 0.7500 0.4206  6 Dy 2.47-2.49
C 0.2466 0.2500 0.2513  6 Dy 2.44-2.50
C 0.4978 0.7500 0.1212  5 Dy 2.35-2.53
C 0.5022 0.2500 0.8788  5 Dy 2.35-2.53
C 0.7534 0.7500 0.7487  6 Dy 2.44-2.50
C 0.9163 0.2500 0.5794  6 Dy 2.47-2.49
S 0.1190 0.2500 0.9173  7 Dy 2.84-2.99
S 0.8810 0.7500 0.0827  7 Dy 2.84-2.99

Output
M_tot	1.8	μB per cell
SG	P2_1/m, No. 11
raw total energy	-6.55	eV/atom
calculated density	8.195	Mg/m³
formation energy from raw total energies	-0.61	eV/atom